This record from Alexandria via LeMat-Bulk describes a relaxed Ca2MgAl4Pt3 crystal. The functional is PBE.

DFT total energy	-47.02	eV/cell
total magnetization	0.0	Bohr magnetons per cell
DOS at the Fermi energy	4.454	states/eV per cell

Structure (CIF):
```
data_Ca2MgAl4Pt3
_cell_length_a 4.154
_cell_length_b 4.154
_cell_length_c 11.347
_cell_angle_alpha 90.00
_cell_angle_beta 90.00
_cell_angle_gamma 90.00
_symmetry_space_group_name_H-M 'P -4 m 2'
_symmetry_Int_Tables_number 115
_symmetry_space_group_name_Hall 'P -4 -2'
loop_
_atom_site_label
_atom_site_type_symbol
_atom_site_fract_x
_atom_site_fract_y
_atom_site_fract_z
Ca1 Ca 0.000 0.500 0.239
Mg1 Mg 0.000 0.000 0.500
Al1 Al 0.000 0.000 0.000
Al2 Al 0.000 0.500 0.648
Al3 Al 0.500 0.500 0.000
Pt1 Pt 0.000 0.500 0.870
Pt2 Pt 0.500 0.500 0.500
```